No. 1
This record from Alexandria via LeMat-Bulk describes an optimized crystal structure of InHg2CBr. The functional is PBE-GGA.

a b c (Å): 4.6951 4.6951 5.4886
angles (deg): 90.00 90.00 90.00
Space group P4/mmm (No. 123)
Symmetry-distinct sites (fractional):
In  0.0000  0.0000  0.0000 [1 per cell]
Hg  0.0000  0.5000  0.5000 [2 per cell]
C  0.0000  0.0000  0.5000 [1 per cell]
Br  0.5000  0.5000  0.0000 [1 per cell]

Excess energy over the best structure of this formula in the dataset   0.000 eV per atom
Energy relative to the elements, uncorrected   0.5897 eV/atom

---

No. 2
This record from Alexandria via LeMat-Bulk describes an optimized crystal structure of NdSm3Dy7. The functional is PBE-GGA.

a b c (Å): 7.0837 7.0837 8.6825
angles (deg): 90.00 90.00 120.00
Space group P3m1 (No. 156)
Symmetry-distinct sites (fractional):
Nd  0.0000  0.0000  0.0000 [1 per cell]
Sm  0.1671  0.3341  0.3389 [3 per cell]
Dy  0.0021  0.5010  0.0013 [3 per cell]
Dy  0.3320  0.1660  0.6728 [3 per cell]
Dy  0.3333  0.6667  0.6759 [1 per cell]

Excess energy over the best structure of this formula in the dataset   0.041 eV per atom
E_form   0.183 eV/atom

---

No. 3
This record from Alexandria via LeMat-Bulk describes an optimized crystal structure of BaBeAu. The functional is PBE-GGA.

a b c (Å): 4.1701 4.1701 5.1237
angles (deg): 90.00 90.00 120.00
Space group P-6m2 (No. 187)
Symmetry-distinct sites (fractional):
Ba  0.0000  0.0000  0.0000 [1 per cell]
Be  0.6667  0.3333  0.5000 [1 per cell]
Au  0.3333  0.6667  0.5000 [1 per cell]

Excess energy over the best structure of this formula in the dataset   0.000 eV per atom
E_form   -0.223 eV/atom

---

No. 4
This record from Alexandria via LeMat-Bulk describes an optimized crystal structure of BaSc2Cl. The functional is PBE-GGA.

a b c (Å): 5.9986 12.7549 3.5427
angles (deg): 90.00 90.00 90.00
Space group Cmmm (No. 65)
Symmetry-distinct sites (fractional):
Ba  0.0000  0.0000  0.0000 [2 per cell]
Sc  0.2500  0.2500  0.5000 [4 per cell]
Cl  0.0000  0.5000  0.0000 [2 per cell]

Excess energy over the best structure of this formula in the dataset   0.495 eV per atom
Energy relative to the elements, uncorrected   -0.0001 eV/atom

---

No. 5
This record from Alexandria via LeMat-Bulk describes an optimized crystal structure of Dy2ErHg2. The functional is PBE-GGA.

a b c (Å): 8.4257 8.4257 3.8406
angles (deg): 90.00 90.00 90.00
Space group P4/mbm (No. 127)
Symmetry-distinct sites (fractional):
Dy  0.1665  0.3335  0.0000 [4 per cell]
Er  0.0000  0.0000  0.5000 [2 per cell]
Hg  0.1331  0.6331  0.5000 [4 per cell]

E_form   -0.384 eV/atom

---

No. 6
This record from Alexandria via LeMat-Bulk describes an optimized crystal structure of Pr2LuZn. The functional is PBE-GGA.

a b c (Å): 3.6813 3.6813 8.6636
angles (deg): 90.00 90.00 90.00
Space group P4/mmm (No. 123)
Symmetry-distinct sites (fractional):
Pr  0.0000  0.0000  0.2153 [2 per cell]
Lu  0.5000  0.5000  0.5000 [1 per cell]
Zn  0.5000  0.5000  0.0000 [1 per cell]

Excess energy over the best structure of this formula in the dataset   0.000 eV per atom
E_form   -0.122 eV/atom

---

No. 7
This record from Alexandria via LeMat-Bulk describes an optimized crystal structure of ZnFe3. The functional is PBE-GGA.

a b c (Å): 8.4990 2.5030 4.6112
angles (deg): 90.00 97.05 90.00
Space group C2/m (No. 12)
Symmetry-distinct sites (fractional):
Zn  0.0000  0.0000  0.0000 [2 per cell]
Fe  0.0000  0.5000  0.5000 [2 per cell]
Fe  0.2490  0.5000  0.2526 [4 per cell]

E_form   0.069 eV/atom

---

No. 8
This record from Alexandria via LeMat-Bulk describes an optimized crystal structure of SmHoCdHg. The functional is PBE-GGA.

a b c (Å): 7.5199 7.5199 7.5199
angles (deg): 90.00 90.00 90.00
Space group F-43m (No. 216)
Symmetry-distinct sites (fractional):
Sm  0.0000  0.0000  0.0000 [4 per cell]
Ho  0.0000  0.0000  0.5000 [4 per cell]
Cd  0.2500  0.2500  0.2500 [4 per cell]
Hg  0.2500  0.2500  0.7500 [4 per cell]

E_form   -0.389 eV/atom

---

No. 9
This record from Alexandria via LeMat-Bulk describes an optimized crystal structure of Tb3Pr6NdDy2. The functional is PBE-GGA.

a b c (Å): 6.3319 10.9684 11.9814
angles (deg): 90.00 100.12 90.00
Space group C2/m (No. 12)
Symmetry-distinct sites (fractional):
Tb  0.0000  0.0000  0.0000 [2 per cell]
Tb  0.0000  0.3333  0.0000 [4 per cell]
Pr  0.2489  0.1670  0.2491 [8 per cell]
Pr  0.2501  0.0000  0.7508 [4 per cell]
Nd  0.0000  0.5000  0.5000 [2 per cell]
Dy  0.0000  0.1666  0.5000 [4 per cell]

E_form   0.012 eV/atom

---

No. 10
This record from Alexandria via LeMat-Bulk describes an optimized crystal structure of KInGe. The functional is PBE-GGA.

a b c (Å): 13.6790 4.5990 7.9739
angles (deg): 90.00 125.58 90.00
Space group C2/m (No. 12)
Symmetry-distinct sites (fractional):
K  0.2483  0.0000  0.2455 [4 per cell]
In  0.0063  0.0000  0.3282 [4 per cell]
Ge  0.0049  0.5000  0.8502 [4 per cell]

E_form   -0.080 eV/atom

---

No. 11
This record from Alexandria via LeMat-Bulk describes an optimized crystal structure of InCuRh2. The functional is PBE-GGA.

a b c (Å): 2.8499 4.1451 5.3639
angles (deg): 90.00 103.56 90.00
Space group P2/m (No. 10)
Symmetry-distinct sites (fractional):
In  0.0000  0.0000  0.0000 [1 per cell]
Cu  0.0000  0.0000  0.5000 [1 per cell]
Rh  0.3849  0.5000  0.7314 [2 per cell]

E_form   -0.044 eV/atom

---

No. 12
This record from Alexandria via LeMat-Bulk describes an optimized crystal structure of Tb3Y2Ru2. The functional is PBE-GGA.

a b c (Å): 11.9062 3.9072 8.5591
angles (deg): 90.00 114.05 90.00
Space group C2/m (No. 12)
Symmetry-distinct sites (fractional):
Tb  0.0000  0.0000  0.0000 [2 per cell]
Tb  0.1212  0.0000  0.4290 [4 per cell]
Y  0.1653  0.5000  0.8102 [4 per cell]
Ru  0.1777  0.5000  0.2246 [4 per cell]

E_form   -0.314 eV/atom

---

Please write out number 2 again, unchanged.
This record from Alexandria via LeMat-Bulk describes an optimized crystal structure of NdSm3Dy7. The functional is PBE-GGA.

a b c (Å): 7.0837 7.0837 8.6825
angles (deg): 90.00 90.00 120.00
Space group P3m1 (No. 156)
Symmetry-distinct sites (fractional):
Nd  0.0000  0.0000  0.0000 [1 per cell]
Sm  0.1671  0.3341  0.3389 [3 per cell]
Dy  0.0021  0.5010  0.0013 [3 per cell]
Dy  0.3320  0.1660  0.6728 [3 per cell]
Dy  0.3333  0.6667  0.6759 [1 per cell]

Excess energy over the best structure of this formula in the dataset   0.041 eV per atom
E_form   0.183 eV/atom

---

Please write out number 12 again, unchanged.
This record from Alexandria via LeMat-Bulk describes an optimized crystal structure of Tb3Y2Ru2. The functional is PBE-GGA.

a b c (Å): 11.9062 3.9072 8.5591
angles (deg): 90.00 114.05 90.00
Space group C2/m (No. 12)
Symmetry-distinct sites (fractional):
Tb  0.0000  0.0000  0.0000 [2 per cell]
Tb  0.1212  0.0000  0.4290 [4 per cell]
Y  0.1653  0.5000  0.8102 [4 per cell]
Ru  0.1777  0.5000  0.2246 [4 per cell]

E_form   -0.314 eV/atom